w.
Computed, not measured: a geometry-optimized BaNaPS2 structure at the PBE-GGA level of DFT.

Unit cell a=5.9641 b=5.9641 c=6.2545 alpha=90.00 beta=90.00 gamma=90.00
Each line ends with the local moment (μB).
Sites, in units of the cell vectors:
1 P 0.0000 0.0000 0.5000  0.92
2 S 0.0000 0.5000 0.0000  0.52
3 S 0.5000 0.0000 0.0000  0.52
4 Ba 0.0000 0.0000 0.0000  0.05
5 Na 0.5000 0.5000 0.5000  0.00

Values from the calculation:
Size of the total moment = 4.0 μB/cell

x.
Computed, not measured: a geometry-optimized BaNaPS2 structure at the PBE-GGA level of DFT.

Unit cell a=5.1333 b=5.1333 c=4.9023 alpha=90.00 beta=90.00 gamma=90.00
Sites, in units of the cell vectors:
1 P 0.0000 0.0000 0.5000
2 S 0.0000 0.5000 0.0000
3 S 0.5000 0.0000 0.0000
4 Ba 0.5000 0.5000 0.5000
5 Na 0.0000 0.0000 0.0000

Values from the calculation:
Size of the total moment = 0.0 μB/cell

The calculated energies rank the structures as follows, beginning with the most stable: x, w.